Record 1
VASP calculation (PBEsol) on crystalline Fe2CuTc at its relaxed geometry.

For the formation energy, the calculation gives 0.253 eV per atom.

Structure (CIF):
```
data_Fe2CuTc
_symmetry_space_group_name_H-M 'I m m 2'
_symmetry_Int_Tables_number 44
_symmetry_space_group_name_Hall 'I 2 -2'
_cell_length_a 2.8108
_cell_length_b 4.1049
_cell_length_c 8.1837
_cell_angle_alpha 90.00
_cell_angle_beta 90.00
_cell_angle_gamma 90.00
loop_
_atom_site_label
_atom_site_type_symbol
_atom_site_fract_x
_atom_site_fract_y
_atom_site_fract_z
Fe1 Fe 0.0000 0.0000 0.0000
Fe2 Fe 0.0000 0.5000 0.2715
Cu1 Cu 0.0000 0.0000 0.5203
Tc1 Tc 0.0000 0.5000 0.7466
```

Record 2
VASP calculation (PBEsol) on crystalline Fe2CuTc at its relaxed geometry.

For the formation energy, the calculation gives 0.216 eV per atom.

Structure (CIF):
```
data_Fe2CuTc
_symmetry_space_group_name_H-M 'C m m m'
_symmetry_Int_Tables_number 65
_symmetry_space_group_name_Hall '-C 2 2'
_cell_length_a 5.0797
_cell_length_b 7.3102
_cell_length_c 2.5275
_cell_angle_alpha 90.00
_cell_angle_beta 90.00
_cell_angle_gamma 90.00
loop_
_atom_site_label
_atom_site_type_symbol
_atom_site_fract_x
_atom_site_fract_y
_atom_site_fract_z
Fe1 Fe 0.2500 0.2500 0.0000
Cu1 Cu 0.0000 0.0000 0.5000
Tc1 Tc 0.0000 0.5000 0.5000
```

Record 3
VASP calculation (PBEsol) on crystalline FeCuTc3 at its relaxed geometry.

For the formation energy, the calculation gives 1.944 eV per atom.

Structure (CIF):
```
data_FeCuTc3
_symmetry_space_group_name_H-M 'P m -3 m'
_symmetry_Int_Tables_number 221
_symmetry_space_group_name_Hall '-P 4 2 3'
_cell_length_a 4.3367
_cell_length_b 4.3367
_cell_length_c 4.3367
_cell_angle_alpha 90.00
_cell_angle_beta 90.00
_cell_angle_gamma 90.00
loop_
_atom_site_label
_atom_site_type_symbol
_atom_site_fract_x
_atom_site_fract_y
_atom_site_fract_z
Fe1 Fe 0.0000 0.0000 0.0000
Cu1 Cu 0.5000 0.5000 0.5000
Tc1 Tc 0.0000 0.5000 0.5000
```

Record 4
VASP calculation (PBEsol) on crystalline FeCuTe2 at its relaxed geometry.

The formation energy (no corrections) comes out at 0.400 eV/atom.

Structure (CIF):
```
data_FeCuTe2
_symmetry_space_group_name_H-M 'P 4/m m m'
_symmetry_Int_Tables_number 123
_symmetry_space_group_name_Hall '-P 4 2'
_cell_length_a 3.2580
_cell_length_b 3.2580
_cell_length_c 6.7875
_cell_angle_alpha 90.00
_cell_angle_beta 90.00
_cell_angle_gamma 90.00
loop_
_atom_site_label
_atom_site_type_symbol
_atom_site_fract_x
_atom_site_fract_y
_atom_site_fract_z
Fe1 Fe 0.0000 0.0000 0.0000
Cu1 Cu 0.0000 0.0000 0.5000
Te1 Te 0.5000 0.5000 0.2350
```

Record 5
VASP calculation (PBEsol) on crystalline FeCuTe2 at its relaxed geometry.

The formation energy (no corrections) comes out at 0.136 eV/atom.

Structure (CIF):
```
data_FeCuTe2
_symmetry_space_group_name_H-M 'P 4 m m'
_symmetry_Int_Tables_number 99
_symmetry_space_group_name_Hall 'P 4 -2'
_cell_length_a 3.3562
_cell_length_b 3.3562
_cell_length_c 6.9838
_cell_angle_alpha 90.00
_cell_angle_beta 90.00
_cell_angle_gamma 90.00
loop_
_atom_site_label
_atom_site_type_symbol
_atom_site_fract_x
_atom_site_fract_y
_atom_site_fract_z
Fe1 Fe 0.0000 0.0000 0.0000
Cu1 Cu 0.5000 0.5000 0.8112
Te1 Te 0.0000 0.0000 0.6321
Te2 Te 0.5000 0.5000 0.1754
```

Record 6
VASP calculation (PBEsol) on crystalline Ti2FeCu at its relaxed geometry.

For the formation energy, the calculation gives -0.229 eV per atom.

Structure (CIF):
```
data_Ti2FeCu
_symmetry_space_group_name_H-M 'P 4/m m m'
_symmetry_Int_Tables_number 123
_symmetry_space_group_name_Hall '-P 4 2'
_cell_length_a 2.9093
_cell_length_b 2.9093
_cell_length_c 6.2250
_cell_angle_alpha 90.00
_cell_angle_beta 90.00
_cell_angle_gamma 90.00
loop_
_atom_site_label
_atom_site_type_symbol
_atom_site_fract_x
_atom_site_fract_y
_atom_site_fract_z
Ti1 Ti 0.0000 0.0000 0.2356
Fe1 Fe 0.5000 0.5000 0.0000
Cu1 Cu 0.5000 0.5000 0.5000
```

Calculated calculated volume, 11.8, 11.7, 16.3, 18.0, 19.7, 13.2 Å³ per atom (same order as the records).